1.
Ba2LiSc: optimized geometry, PBE-GGA.

**ΔH_f (0 K)**: 276 meV/atom
**V**: 40.45 Å³/atom
**Energy relative to the lowest polymorph listed for this composition**: 57 meV per atom
**SG**: Pmm2 (25)
**Raw total energy**: -10.99 eV/f.u.

Unit cell a=4.0899 b=6.2707 c=6.3095 alpha=90.00 beta=90.00 gamma=90.00
With the nearest neighbours (Å) after each atom.
Fractional coordinates of all 4 atoms:
Ba1 0.0000 0.0000 0.0000  4 Sc 3.73-3.78, 4 Li 3.76, 2 Ba 4.09
Ba2 0.0000 0.5000 0.4583  4 Li 3.68-3.84, 4 Sc 3.75, 2 Ba 4.09
Li1 0.5000 0.5000 0.9428  8 Ba 3.68-3.84, 2 Li 4.09
Sc1 0.5000 0.0000 0.5047  8 Ba 3.73-3.78, 2 Sc 4.09, 2 Li 4.18

***

2.
Ba2LiSc: optimized geometry, PBE-GGA.

**ΔH_f (0 K)**: 258 meV/atom
**V**: 40.55 Å³/atom
**Energy relative to the lowest polymorph listed for this composition**: 39 meV per atom
**SG**: Pm (6)
**Raw total energy**: -11.06 eV/f.u.

Unit cell a=8.8330 b=3.8806 c=9.8650 alpha=90.00 beta=106.41 gamma=90.00
With the nearest neighbours (Å) after each atom.
Fractional coordinates of all 8 atoms:
Ba1 0.0000 0.0000 0.0000  4 Li 3.62-3.94, 2 Ba 3.88
Ba2 0.1172 0.5000 0.6624  1 Li 3.33
Ba3 0.5112 0.0000 0.9150  3 Sc 3.83-3.95, 6 Ba 3.88-4.18, 2 Li 3.99
Ba4 0.7464 0.0000 0.3474  4 Li 3.69-3.81, 3 Sc 3.76-3.81, 2 Ba 3.88
Li1 0.1092 0.5000 0.3233  1 Li 2.87
Li2 0.3790 0.5000 0.2164  1 Li 2.87
Sc1 0.4003 0.0000 0.4978  2 Sc 3.24, 4 Li 3.29-3.35
Sc2 0.6873 0.5000 0.6607  2 Sc 3.24